No. 1
A relaxed structure of ScAu3Br, computed with PBE.

Unit cell a=5.086 b=5.086 c=5.086 alpha=90.00 beta=90.00 gamma=90.00
Fractional coordinates of all 5 atoms:
Sc 0.000 0.000 0.000
Au 0.000 0.500 0.500
Au 0.500 0.000 0.500
Au 0.500 0.500 0.000
Br 0.500 0.500 0.500

Values from the calculation:
symmetry = Pm-3m (221)
raw formation energy = 0.788 eV/atom
crystal system = cubic
E above lowest polymorph = 1.61 eV/f.u.
theoretical density = 9.03 g/cm³
raw total energy = -2.779 eV per atom
V = 26.3 Å³/atom


No. 2
A relaxed structure of ScAuBr2, computed with PBE.

Unit cell a=5.013 b=5.013 c=5.013 alpha=60.00 beta=60.00 gamma=60.00
Fractional coordinates of all 4 atoms:
Sc 0.000 0.000 0.000
Au 0.500 0.500 0.500
Br 0.250 0.250 0.250
Br 0.750 0.750 0.750

Values from the calculation:
symmetry = Fm-3m (225)
raw formation energy = -0.451 eV/atom
crystal system = cubic
E above lowest polymorph = 2.44 eV/f.u.
theoretical density = 7.49 g/cm³
raw total energy = -3.689 eV per atom
V = 22.3 Å³/atom


No. 3
A relaxed structure of ScAuBr4, computed with PBE.

Unit cell a=6.085 b=6.085 c=6.085 alpha=60.00 beta=60.00 gamma=60.00
Fractional coordinates of all 6 atoms:
Sc 0.000 0.000 0.000
Au 0.750 0.750 0.750
Br 0.375 0.375 0.375
Br 0.375 0.375 0.875
Br 0.375 0.875 0.375
Br 0.875 0.375 0.375

Values from the calculation:
symmetry = F-43m (216)
raw formation energy = 0.415 eV/atom
crystal system = cubic
theoretical density = 5.85 g/cm³
raw total energy = -2.302 eV per atom
V = 26.6 Å³/atom


No. 4
A relaxed structure of ScAuBr2, computed with PBE.

Unit cell a=10.082 b=10.082 c=10.082 alpha=20.10 beta=20.10 gamma=20.10
Fractional coordinates of all 4 atoms:
Sc 0.000 0.000 0.000
Au 0.500 0.500 0.500
Br 0.274 0.274 0.274
Br 0.726 0.726 0.726

Values from the calculation:
symmetry = R-3m (166)
raw formation energy = -0.742 eV/atom
crystal system = trigonal
E above lowest polymorph = 1.27 eV/f.u.
theoretical density = 6.30 g/cm³
raw total energy = -3.981 eV per atom
V = 26.5 Å³/atom


No. 5
A relaxed structure of ScAuBr2, computed with PBE.

Unit cell a=7.751 b=7.751 c=7.751 alpha=154.52 beta=142.18 gamma=46.16
Fractional coordinates of all 4 atoms:
Sc 0.000 0.000 0.000
Au 0.500 0.500 0.000
Br 0.144 0.644 0.500
Br 0.856 0.356 0.500

Values from the calculation:
symmetry = Immm (71)
raw formation energy = -0.935 eV/atom
crystal system = orthorhombic
E above lowest polymorph = 0.50 eV/f.u.
theoretical density = 5.45 g/cm³
raw total energy = -4.174 eV per atom
V = 30.6 Å³/atom


No. 6
A relaxed structure of ScAuBr2, computed with PBE.

Unit cell a=10.317 b=10.317 c=10.317 alpha=19.62 beta=19.62 gamma=19.62
Fractional coordinates of all 4 atoms:
Sc 0.000 0.000 0.000
Au 0.500 0.500 0.500
Br 0.391 0.391 0.391
Br 0.609 0.609 0.609

Values from the calculation:
symmetry = R-3m (166)
raw formation energy = -0.746 eV/atom
crystal system = trigonal
E above lowest polymorph = 1.25 eV/f.u.
theoretical density = 6.16 g/cm³
raw total energy = -3.985 eV per atom
V = 27.1 Å³/atom


Among the records above, which one has the highest raw formation energy? ScAu3Br


The highest raw total energy belongs to which entry? ScAuBr4